Entry 1:
The following is a DFT calculation (SCAN) of a PBEsol-optimized structure of AlAs2Ir.

ΔE_f in eV per formula unit: 0.16

Unit cell a=4.563 b=2.968 c=4.846 alpha=90.00 beta=106.69 gamma=90.00
Atoms (fractional coordinates):
Al 0.000 0.000 0.000
As 0.000 0.500 0.500
As 0.500 0.000 0.500
Ir 0.500 0.500 0.000

---

Entry 2:
The following is a DFT calculation (SCAN) of a PBEsol-optimized structure of SrMoPt2.

ΔE_f in eV per formula unit: 0.47

Unit cell a=4.714 b=4.714 c=4.714 alpha=60.00 beta=60.00 gamma=60.00
Atoms (fractional coordinates):
Sr 0.000 0.000 0.000
Mo 0.500 0.500 0.500
Pt 0.250 0.250 0.250
Pt 0.750 0.750 0.750

---

Entry 3:
The following is a DFT calculation (SCAN) of a PBEsol-optimized structure of SnP2SO.

E_form (uncorrected) in eV/atom: 0.728

Unit cell a=5.044 b=5.044 c=3.836 alpha=90.00 beta=90.00 gamma=90.00
Atoms (fractional coordinates):
Sn 0.000 0.000 0.000
P 0.000 0.500 0.000
P 0.500 0.000 0.000
S 0.500 0.500 0.500
O 0.000 0.000 0.500

---

Entry 4:
The following is a DFT calculation (SCAN) of a PBEsol-optimized structure of TiTePdI2.

E_form (uncorrected) in eV/atom: 0.237

Unit cell a=5.345 b=5.345 c=5.258 alpha=90.00 beta=90.00 gamma=90.00
Atoms (fractional coordinates):
Ti 0.000 0.000 0.000
Te 0.000 0.000 0.500
Pd 0.500 0.500 0.500
I 0.000 0.500 0.000
I 0.500 0.000 0.000

---

Entry 5:
The following is a DFT calculation (SCAN) of a PBEsol-optimized structure of SiRuW3.

E_form (uncorrected) in eV/atom: 1.572

Unit cell a=4.384 b=4.384 c=4.384 alpha=90.00 beta=90.00 gamma=90.00
Atoms (fractional coordinates):
Si 0.000 0.000 0.000
Ru 0.500 0.500 0.500
W 0.000 0.000 0.500
W 0.000 0.500 0.000
W 0.500 0.000 0.000

---

Entry 6:
The following is a DFT calculation (SCAN) of a PBEsol-optimized structure of Hf2Sc3Si4.

E_form (uncorrected) in eV/atom: -0.803

Unit cell a=7.106 b=7.106 c=12.837 alpha=90.00 beta=90.00 gamma=90.00
Atoms (fractional coordinates):
Hf 0.001 0.142 0.123
Hf 0.142 0.001 0.877
Hf 0.358 0.501 0.373
Hf 0.499 0.642 0.127
Hf 0.501 0.358 0.627
Hf 0.642 0.499 0.873
Hf 0.858 0.999 0.377
Hf 0.999 0.858 0.623
Sc 0.005 0.652 0.215
Sc 0.152 0.495 0.965
Sc 0.177 0.177 0.500
Sc 0.323 0.677 0.750
Sc 0.348 0.995 0.285
Sc 0.495 0.152 0.035
Sc 0.505 0.848 0.535
Sc 0.652 0.005 0.785
Sc 0.677 0.323 0.250
Sc 0.823 0.823 0.000
Sc 0.848 0.505 0.465
Sc 0.995 0.348 0.715
Si 0.052 0.300 0.313
Si 0.147 0.793 0.427
Si 0.200 0.552 0.563
Si 0.207 0.853 0.073
Si 0.293 0.353 0.177
Si 0.300 0.052 0.687
Si 0.353 0.293 0.823
Si 0.448 0.800 0.937
Si 0.552 0.200 0.437
Si 0.647 0.707 0.323
Si 0.700 0.948 0.187
Si 0.707 0.647 0.677
Si 0.793 0.147 0.573
Si 0.800 0.448 0.063
Si 0.853 0.207 0.927
Si 0.948 0.700 0.813